<1>
# AlZnOs | the Alexandria database | PBE | optimized geometry
# - DOS at the Fermi energy: 0.68 states/eV per atom
# - Size of the total moment: 0.0 μB/f.u.
data_AlZnOs
_symmetry_space_group_name_H-M 'F m m 2'
_symmetry_Int_Tables_number 42
_symmetry_space_group_name_Hall 'F 2 -2'
_cell_length_a 2.994
_cell_length_b 4.658
_cell_length_c 12.789
_cell_angle_alpha 90.00
_cell_angle_beta 90.00
_cell_angle_gamma 90.00
loop_
_atom_site_label
_atom_site_fract_x
_atom_site_fract_y
_atom_site_fract_z
Al1 0.000 0.000 0.000
Zn1 0.000 0.000 0.675
Os1 0.000 0.000 0.344

***

<2>
# AlZnOs | the Alexandria database | PBE | optimized geometry
# - DOS at the Fermi energy: 0.50 states/eV per atom
# - Size of the total moment: 0.0 μB/f.u.
data_AlZnOs
_symmetry_space_group_name_H-M 'I m m 2'
_symmetry_Int_Tables_number 44
_cell_length_a 2.729
_cell_length_b 3.828
_cell_length_c 8.202
_cell_angle_alpha 90.00
_cell_angle_beta 90.00
_cell_angle_gamma 90.00
loop_
_symmetry_equiv_pos_as_xyz
'x,y,z'
'-x,-y,z'
'-x,y,z'
'x,-y,z'
'x+1/2,y+1/2,z+1/2'
'-x+1/2,-y+1/2,z+1/2'
'-x+1/2,y+1/2,z+1/2'
'x+1/2,-y+1/2,z+1/2'
loop_
_atom_site_label
_atom_site_fract_x
_atom_site_fract_y
_atom_site_fract_z
Al1 0.000 0.000 0.000
Zn1 0.000 0.000 0.322
Os1 0.000 0.000 0.654

***

Most favorable structure: <2>. The second most favorable one is 19.8 kJ/mol of atoms above it.

***

<1>
# AlZnOs | the Alexandria database | PBE | optimized geometry
# - DOS at the Fermi energy: 0.47 states/eV per atom
# - Size of the total moment: 0.0 μB/f.u.
data_AlZnOs
_symmetry_space_group_name_H-M 'P 3 m 1'
_symmetry_Int_Tables_number 156
_cell_length_a 4.2423
_cell_length_b 4.2423
_cell_length_c 2.7119
_cell_angle_alpha 90.00
_cell_angle_beta 90.00
_cell_angle_gamma 120.00
loop_
_symmetry_equiv_pos_as_xyz
'x,y,z'
'-y,x-y,z'
'-x+y,-x,z'
'-y,-x,z'
'-x+y,y,z'
'x,x-y,z'
loop_
_atom_site_label
_atom_site_fract_x
_atom_site_fract_y
_atom_site_fract_z
Al1 0.0000 0.0000 0.0000
Zn1 0.3333 0.6667 0.8052
Os1 0.6667 0.3333 0.3706

***

<2>
# AlZnOs | the Alexandria database | PBE | optimized geometry
# - DOS at the Fermi energy: 1.39 states/eV per atom
# - Size of the total moment: 0.0 μB/f.u.
data_AlZnOs
_symmetry_space_group_name_H-M 'F -4 3 m'
_symmetry_Int_Tables_number 216
_symmetry_space_group_name_Hall 'F -4 2 3'
_cell_length_a 5.908
_cell_length_b 5.908
_cell_length_c 5.908
_cell_angle_alpha 90.00
_cell_angle_beta 90.00
_cell_angle_gamma 90.00
loop_
_atom_site_label
_atom_site_fract_x
_atom_site_fract_y
_atom_site_fract_z
Al1 0.000 0.000 0.000
Zn1 0.000 0.000 0.500
Os1 0.250 0.250 0.250

***

<3>
# AlZnOs | the Alexandria database | PBE | optimized geometry
# - DOS at the Fermi energy: 0.73 states/eV per atom
# - Size of the total moment: 0.0 μB/f.u.
data_AlZnOs
_symmetry_space_group_name_H-M 'I 4 m m'
_symmetry_Int_Tables_number 107
_symmetry_space_group_name_Hall 'I 4 -2'
_cell_length_a 3.160
_cell_length_b 3.160
_cell_length_c 8.495
_cell_angle_alpha 90.00
_cell_angle_beta 90.00
_cell_angle_gamma 90.00
loop_
_atom_site_label
_atom_site_fract_x
_atom_site_fract_y
_atom_site_fract_z
Al1 0.000 0.000 0.000
Zn1 0.000 0.000 0.320
Os1 0.000 0.000 0.650

***

<4>
# AlZnOs | the Alexandria database | PBE | optimized geometry
# - DOS at the Fermi energy: 1.00 states/eV per atom
# - Size of the total moment: 0.0 μB/f.u.
data_AlZnOs
_symmetry_space_group_name_H-M 'F -4 3 m'
_symmetry_Int_Tables_number 216
_symmetry_space_group_name_Hall 'F -4 2 3'
_cell_length_a 5.798
_cell_length_b 5.798
_cell_length_c 5.798
_cell_angle_alpha 90.00
_cell_angle_beta 90.00
_cell_angle_gamma 90.00
loop_
_atom_site_label
_atom_site_fract_x
_atom_site_fract_y
_atom_site_fract_z
Al1 0.000 0.000 0.000
Zn1 0.250 0.250 0.750
Os1 0.250 0.250 0.250

***

Most favorable structure: <3>. The second most favorable one is 7.4 kJ/mol of atoms above it.